# 1
! SrCdBr2 | Alexandria via LeMat-Bulk | GGA-PBE | optimized geometry; values from VASP
! DOS(E_F) = 0.00 states/eV/f.u.
! Uncorrected energy = -2.902 eV per atom
! Crystal system = monoclinic
! E above lowest polymorph = 0.0 meV per atom
! Raw formation energy = -32.7 kcal/mol of atoms
&SYSTEM
  ibrav = 0, nat = 4, ntyp = 3
/
ATOMIC_SPECIES
Sr 87.62 Sr.upf
Cd 112.41 Cd.upf
Br 79.90 Br.upf
CELL_PARAMETERS angstrom
3.955 -2.283 0.000
3.955 2.283 0.000
-2.600 0.000 10.219
ATOMIC_POSITIONS crystal
Sr 0.000 0.000 0.000
Cd 0.500 0.500 0.500
Br 0.282 0.282 0.845
Br 0.718 0.718 0.155

---

# 2
! ScTi2Os | Alexandria via LeMat-Bulk | GGA-PBE | optimized geometry; values from VASP
! Energy relative to the elements = -0.223 eV/atom
! DOS(E_F) = 6.07 states/eV/f.u.
! Uncorrected energy = -8.561 eV per atom
! Crystal system = tetragonal
&SYSTEM
  ibrav = 0, nat = 4, ntyp = 3
/
ATOMIC_SPECIES
Sc 44.96 Sc.upf
Ti 47.87 Ti.upf
Os 190.23 Os.upf
CELL_PARAMETERS angstrom
3.124 0.000 0.000
0.000 3.124 0.000
0.000 0.000 7.192
ATOMIC_POSITIONS crystal
Sc 0.000 0.000 0.000
Ti 0.500 0.500 0.292
Ti 0.500 0.500 0.708
Os 0.000 0.000 0.500

---

# 3
! ZrTaTe2 | Alexandria via LeMat-Bulk | GGA-PBE | optimized geometry; values from VASP
! DOS(E_F) = 3.75 states/eV/f.u.
! Uncorrected energy = -6.757 eV per atom
! Crystal system = monoclinic
! E above lowest polymorph = 325.2 meV per atom
! Raw formation energy = -2.0 kcal/mol of atoms
&SYSTEM
  ibrav = 0, nat = 4, ntyp = 3
/
ATOMIC_SPECIES
Zr 91.22 Zr.upf
Ta 180.95 Ta.upf
Te 127.60 Te.upf
CELL_PARAMETERS angstrom
4.357 -1.750 0.000
4.357 1.750 0.000
-1.358 0.000 5.953
ATOMIC_POSITIONS crystal
Zr 0.000 0.000 0.000
Ta 0.500 0.500 0.500
Te 0.245 0.245 0.734
Te 0.755 0.755 0.266

---

# 4
! Ac2La7Sm3 | Alexandria via LeMat-Bulk | GGA-PBE | optimized geometry; values from VASP
! Energy relative to the elements = 0.092 eV/atom
! DOS(E_F) = 18.95 states/eV/f.u.
! Uncorrected energy = -4.647 eV per atom
! Crystal system = monoclinic
! E above lowest polymorph = 20.5 meV per atom
&SYSTEM
  ibrav = 0, nat = 12, ntyp = 3
/
ATOMIC_SPECIES
Ac 227.00 Ac.upf
La 138.91 La.upf
Sm 150.36 Sm.upf
CELL_PARAMETERS angstrom
6.094 0.000 0.000
0.000 3.734 0.000
-1.261 0.000 19.942
ATOMIC_POSITIONS crystal
Ac 0.194 0.000 0.297
Ac 0.806 0.000 0.703
La 0.168 0.500 0.141
La 0.242 0.000 0.468
La 0.332 0.000 0.826
La 0.500 0.500 0.000
La 0.668 0.000 0.174
La 0.758 0.000 0.532
La 0.832 0.500 0.859
Sm 0.000 0.000 0.000
Sm 0.292 0.500 0.631
Sm 0.708 0.500 0.369

---

# 5
! Ho2HfSc5 | Alexandria via LeMat-Bulk | GGA-PBE | optimized geometry; values from VASP
! Energy relative to the elements = 0.070 eV/atom
! DOS(E_F) = 12.84 states/eV/f.u.
! Uncorrected energy = -6.276 eV per atom
! Crystal system = orthorhombic
&SYSTEM
  ibrav = 0, nat = 16, ntyp = 3
/
ATOMIC_SPECIES
Ho 164.93 Ho.upf
Hf 178.49 Hf.upf
Sc 44.96 Sc.upf
CELL_PARAMETERS angstrom
6.619 0.000 0.000
0.000 13.255 0.000
0.000 0.000 4.657
ATOMIC_POSITIONS crystal
Ho 0.245 0.122 0.000
Ho 0.255 0.622 0.000
Ho 0.745 0.378 0.000
Ho 0.755 0.878 0.000
Hf 0.000 0.000 0.500
Hf 0.500 0.500 0.500
Sc 0.000 0.500 0.500
Sc 0.001 0.245 0.500
Sc 0.243 0.879 0.000
Sc 0.257 0.379 0.000
Sc 0.499 0.745 0.500
Sc 0.500 0.000 0.500
Sc 0.501 0.255 0.500
Sc 0.743 0.621 0.000
Sc 0.757 0.121 0.000
Sc 0.999 0.755 0.500

---

# 6
! MoPICl2 | Alexandria via LeMat-Bulk | GGA-PBE | optimized geometry; values from VASP
! DOS(E_F) = 4.55 states/eV/f.u.
! Uncorrected energy = -2.966 eV per atom
! Crystal system = tetragonal
! E above lowest polymorph = 1264.5 meV per atom
! Raw formation energy = 30.7 kcal/mol of atoms
&SYSTEM
  ibrav = 0, nat = 5, ntyp = 4
/
ATOMIC_SPECIES
Mo 95.94 Mo.upf
P 30.97 P.upf
I 126.90 I.upf
Cl 35.45 Cl.upf
CELL_PARAMETERS angstrom
5.338 0.000 0.000
0.000 5.338 0.000
0.000 0.000 5.431
ATOMIC_POSITIONS crystal
Mo 0.000 0.000 0.000
P 0.500 0.500 0.000
I 0.500 0.500 0.500
Cl 0.000 0.500 0.500
Cl 0.500 0.000 0.500

---

Which of these has the lowest uncorrected energy? ScTi2Os